Entry 1:
4
Lattice="-2.977 2.902 -0.803 -2.361 -0.302 -3.502 -4.096 -1.032 0.291" Properties=species:S:1:pos:R:3 comment="FeCoIrRh, relaxed, DFT PBE" total_magnetization_mub_per_fu=7.07 ef_ev_per_atom=0.124 pbc="T T T"
Fe -7.076 1.176 -3.011
Rh -4.717 0.784 -2.007
Co -2.359 0.392 -1.004
Ir 0.000 0.000 0.000



Entry 2:
4
Lattice="-0.841 -1.289 4.751 -0.463 -4.816 1.235 3.584 -2.254 2.647" Properties=species:S:1:pos:R:3 comment="DyErZnGe, relaxed, DFT PBE" total_magnetization_mub_per_fu=0.00 ef_ev_per_atom=-0.521 pbc="T T T"
Er 0.570 -2.090 2.158
Dy 1.710 -6.270 6.475
Ge 1.140 -4.180 4.317
Zn 0.000 0.000 0.000



Entry 3:
8
Lattice="-0.161 5.400 0.799 -4.371 2.865 -1.583 -5.273 1.454 7.770" Properties=species:S:1:pos:R:3 comment="Ca2CeErTl4, relaxed, DFT PBE" total_magnetization_mub_per_fu=1.08 ef_ev_per_atom=-0.337 pbc="T T T"
Ca -7.365 7.286 5.262
Ca -2.441 2.433 1.724
Tl -5.923 7.784 2.184
Tl -3.478 5.352 0.451
Tl -3.882 1.935 4.801
Tl -6.327 4.367 6.534
Er 0.000 0.000 0.000
Ce -4.903 4.860 3.493